Record 1
Sm2Pu3Ru2: relaxed, PBE.

Properties
* E_form: -0.9 eV per formula unit
* magnetic moment: 16.529 μB/cell
* DFT total energy: -71.894 eV per cell

Structure (CIF):
```
data_Sm2Pu3Ru2
_chemical_formula_sum 'Sm2 Pu3 Ru2'
_cell_length_a 3.907
_cell_length_b 5.990
_cell_length_c 8.483
_cell_angle_alpha 110.35
_cell_angle_beta 89.99
_cell_angle_gamma 109.03
_symmetry_space_group_name_H-M 'P 1'
_symmetry_Int_Tables_number 1
loop_
_symmetry_equiv_pos_as_xyz
'x,y,z'
loop_
_atom_site_label
_atom_site_type_symbol
_atom_site_fract_x
_atom_site_fract_y
_atom_site_fract_z
_atom_site_occupancy
Ru1 Ru 0.134 0.268 0.214 1
Pu1 Pu 0.500 0.000 0.000 1
Ru2 Ru 0.866 0.732 0.786 1
Sm1 Sm 0.162 0.324 0.807 1
Sm2 Sm 0.838 0.676 0.193 1
Pu2 Pu 0.378 0.756 0.564 1
Pu3 Pu 0.622 0.244 0.436 1
```

=====

Record 2
SmPuRu: relaxed, PBE.

Properties
* E_form: 0.1 eV per formula unit
* magnetic moment: 5.396 μB/cell
* DFT total energy: -28.265 eV per cell

Structure (CIF):
```
data_SmPuRu
_chemical_formula_sum 'Sm1 Pu1 Ru1'
_cell_length_a 3.450
_cell_length_b 4.754
_cell_length_c 4.754
_cell_angle_alpha 120.00
_cell_angle_beta 90.00
_cell_angle_gamma 90.00
_symmetry_space_group_name_H-M 'P 1'
_symmetry_Int_Tables_number 1
loop_
_symmetry_equiv_pos_as_xyz
'x,y,z'
loop_
_atom_site_label
_atom_site_type_symbol
_atom_site_fract_x
_atom_site_fract_y
_atom_site_fract_z
_atom_site_occupancy
Pu1 Pu 0.578 0.333 0.667 1
Ru1 Ru 0.410 0.667 0.333 1
Sm1 Sm 0.012 0.000 0.000 1
```

=====

Record 3
SmPu2Ru3: relaxed, PBE.

Properties
* E_form: -0.9 eV per formula unit
* magnetic moment: 8.260 μB/cell
* DFT total energy: -62.127 eV per cell

Structure (CIF):
```
data_SmPu2Ru3
_chemical_formula_sum 'Sm1 Pu2 Ru3'
_cell_length_a 3.359
_cell_length_b 4.965
_cell_length_c 7.569
_cell_angle_alpha 109.15
_cell_angle_beta 90.00
_cell_angle_gamma 90.00
_symmetry_space_group_name_H-M 'P 1'
_symmetry_Int_Tables_number 1
loop_
_symmetry_equiv_pos_as_xyz
'x,y,z'
loop_
_atom_site_label
_atom_site_type_symbol
_atom_site_fract_x
_atom_site_fract_y
_atom_site_fract_z
_atom_site_occupancy
Pu1 Pu 0.000 0.335 0.670 1
Ru1 Ru 0.500 0.819 0.639 1
Ru2 Ru 0.500 0.500 0.000 1
Sm1 Sm 0.000 0.000 0.000 1
Pu2 Pu 0.000 0.665 0.330 1
Ru3 Ru 0.500 0.181 0.361 1
```

=====

Record 4
SmPu2Ru2: relaxed, PBE.

Properties
* E_form: 0.0 eV per formula unit
* magnetic moment: 20.168 μB/cell
* DFT total energy: -103.785 eV per cell

Structure (CIF):
```
data_SmPu2Ru2
_chemical_formula_sum 'Sm2 Pu4 Ru4'
_cell_length_a 7.304
_cell_length_b 7.304
_cell_length_c 5.497
_cell_angle_alpha 112.01
_cell_angle_beta 112.01
_cell_angle_gamma 93.48
_symmetry_space_group_name_H-M 'P 1'
_symmetry_Int_Tables_number 1
loop_
_symmetry_equiv_pos_as_xyz
'x,y,z'
loop_
_atom_site_label
_atom_site_type_symbol
_atom_site_fract_x
_atom_site_fract_y
_atom_site_fract_z
_atom_site_occupancy
Ru1 Ru 0.174 0.326 0.750 1
Pu1 Pu 0.409 0.699 0.052 1
Pu2 Pu 0.591 0.301 0.948 1
Pu3 Pu 0.199 0.909 0.552 1
Ru2 Ru 0.426 0.074 0.250 1
Ru3 Ru 0.574 0.926 0.750 1
Ru4 Ru 0.826 0.674 0.250 1
Sm1 Sm 0.862 0.638 0.750 1
Pu4 Pu 0.801 0.091 0.448 1
Sm2 Sm 0.138 0.362 0.250 1
```

=====

Record 5
Sm2PuRu2: relaxed, PBE.

Properties
* E_form: -1.1 eV per formula unit
* magnetic moment: 8.376 μB/cell
* DFT total energy: -86.804 eV per cell

Structure (CIF):
```
data_Sm2PuRu2
_chemical_formula_sum 'Sm4 Pu2 Ru4'
_cell_length_a 4.140
_cell_length_b 6.070
_cell_length_c 10.255
_cell_angle_alpha 90.00
_cell_angle_beta 90.00
_cell_angle_gamma 109.94
_symmetry_space_group_name_H-M 'P 1'
_symmetry_Int_Tables_number 1
loop_
_symmetry_equiv_pos_as_xyz
'x,y,z'
loop_
_atom_site_label
_atom_site_type_symbol
_atom_site_fract_x
_atom_site_fract_y
_atom_site_fract_z
_atom_site_occupancy
Sm1 Sm 0.656 0.312 0.339 1
Ru1 Ru 0.823 0.647 0.624 1
Pu1 Pu 0.633 0.266 0.980 1
Ru2 Ru 0.984 0.969 0.399 1
Sm2 Sm 0.344 0.688 0.839 1
Ru3 Ru 0.177 0.353 0.124 1
Pu2 Pu 0.367 0.734 0.480 1
Sm3 Sm 0.100 0.200 0.643 1
Sm4 Sm 0.900 0.800 0.143 1
Ru4 Ru 0.016 0.031 0.899 1
```

=====

Record 6
Sm5PuRu4: relaxed, PBE.

Properties
* E_form: -1.8 eV per formula unit
* magnetic moment: 3.337 μB/cell
* DFT total energy: -76.863 eV per cell

Structure (CIF):
```
data_Sm5PuRu4
_chemical_formula_sum 'Sm5 Pu1 Ru4'
_cell_length_a 4.379
_cell_length_b 7.119
_cell_length_c 9.521
_cell_angle_alpha 118.95
_cell_angle_beta 103.30
_cell_angle_gamma 90.00
_symmetry_space_group_name_H-M 'P 1'
_symmetry_Int_Tables_number 1
loop_
_symmetry_equiv_pos_as_xyz
'x,y,z'
loop_
_atom_site_label
_atom_site_type_symbol
_atom_site_fract_x
_atom_site_fract_y
_atom_site_fract_z
_atom_site_occupancy
Sm1 Sm 0.834 0.706 0.667 1
Sm2 Sm 0.829 0.203 0.658 1
Ru1 Ru 0.010 0.807 0.021 1
Ru2 Ru 0.645 0.013 0.289 1
Pu1 Pu 0.500 0.000 0.000 1
Sm3 Sm 0.500 0.500 0.000 1
Sm4 Sm 0.166 0.294 0.333 1
Sm5 Sm 0.171 0.797 0.342 1
Ru3 Ru 0.355 0.987 0.711 1
Ru4 Ru 0.990 0.193 0.979 1
```

=====

Record 7
Sm2PuRu3: relaxed, PBE.

Properties
* E_form: -1.8 eV per formula unit
* magnetic moment: 5.759 μB/cell
* DFT total energy: -106.818 eV per cell

Structure (CIF):
```
data_Sm2PuRu3
_chemical_formula_sum 'Sm4 Pu2 Ru6'
_cell_length_a 5.847
_cell_length_b 5.847
_cell_length_c 8.114
_cell_angle_alpha 90.00
_cell_angle_beta 90.00
_cell_angle_gamma 120.00
_symmetry_space_group_name_H-M 'P 1'
_symmetry_Int_Tables_number 1
loop_
_symmetry_equiv_pos_as_xyz
'x,y,z'
loop_
_atom_site_label
_atom_site_type_symbol
_atom_site_fract_x
_atom_site_fract_y
_atom_site_fract_z
_atom_site_occupancy
Ru1 Ru 0.335 0.167 0.750 1
Ru2 Ru 0.833 0.665 0.750 1
Ru3 Ru 0.167 0.833 0.250 1
Sm1 Sm 0.667 0.333 0.439 1
Sm2 Sm 0.333 0.667 0.561 1
Ru4 Ru 0.833 0.167 0.750 1
Ru5 Ru 0.665 0.833 0.250 1
Pu1 Pu 0.000 0.000 0.000 1
Sm3 Sm 0.333 0.667 0.939 1
Pu2 Pu 0.000 0.000 0.500 1
Sm4 Sm 0.667 0.333 0.061 1
Ru6 Ru 0.167 0.335 0.250 1
```

=====

Record 8
Sm2PuRu: relaxed, PBE.

Properties
* E_form: -0.1 eV per formula unit
* magnetic moment: 7.098 μB/cell
* DFT total energy: -33.181 eV per cell

Structure (CIF):
```
data_Sm2PuRu
_chemical_formula_sum 'Sm2 Pu1 Ru1'
_cell_length_a 3.470
_cell_length_b 3.470
_cell_length_c 8.776
_cell_angle_alpha 90.00
_cell_angle_beta 90.00
_cell_angle_gamma 90.00
_symmetry_space_group_name_H-M 'P 1'
_symmetry_Int_Tables_number 1
loop_
_symmetry_equiv_pos_as_xyz
'x,y,z'
loop_
_atom_site_label
_atom_site_type_symbol
_atom_site_fract_x
_atom_site_fract_y
_atom_site_fract_z
_atom_site_occupancy
Ru1 Ru 0.500 0.500 0.000 1
Sm1 Sm 0.000 0.000 0.806 1
Pu1 Pu 0.500 0.500 0.500 1
Sm2 Sm 0.000 0.000 0.194 1
```

=====

Record 9
SmPu2Ru2: relaxed, PBE.

Properties
* E_form: -0.1 eV per formula unit
* magnetic moment: 19.335 μB/cell
* DFT total energy: -104.045 eV per cell

Structure (CIF):
```
data_SmPu2Ru2
_chemical_formula_sum 'Sm2 Pu4 Ru4'
_cell_length_a 6.616
_cell_length_b 6.616
_cell_length_c 8.732
_cell_angle_alpha 103.45
_cell_angle_beta 103.45
_cell_angle_gamma 132.30
_symmetry_space_group_name_H-M 'P 1'
_symmetry_Int_Tables_number 1
loop_
_symmetry_equiv_pos_as_xyz
'x,y,z'
loop_
_atom_site_label
_atom_site_type_symbol
_atom_site_fract_x
_atom_site_fract_y
_atom_site_fract_z
_atom_site_occupancy
Pu1 Pu 0.830 0.667 0.002 1
Pu2 Pu 0.667 0.830 0.502 1
Pu3 Pu 0.333 0.170 0.498 1
Ru1 Ru 0.775 0.225 0.750 1
Ru2 Ru 0.570 0.430 0.250 1
Ru3 Ru 0.225 0.775 0.250 1
Sm1 Sm 0.819 0.181 0.250 1
Pu4 Pu 0.170 0.333 0.998 1
Ru4 Ru 0.430 0.570 0.750 1
Sm2 Sm 0.181 0.819 0.750 1
```

=====

Record 10
Sm2Pu2Ru3: relaxed, PBE.

Properties
* E_form: -1.2 eV per formula unit
* magnetic moment: 8.473 μB/cell
* DFT total energy: -67.177 eV per cell

Structure (CIF):
```
data_Sm2Pu2Ru3
_chemical_formula_sum 'Sm2 Pu2 Ru3'
_cell_length_a 4.598
_cell_length_b 4.597
_cell_length_c 9.060
_cell_angle_alpha 90.00
_cell_angle_beta 104.71
_cell_angle_gamma 119.99
_symmetry_space_group_name_H-M 'P 1'
_symmetry_Int_Tables_number 1
loop_
_symmetry_equiv_pos_as_xyz
'x,y,z'
loop_
_atom_site_label
_atom_site_type_symbol
_atom_site_fract_x
_atom_site_fract_y
_atom_site_fract_z
_atom_site_occupancy
Ru1 Ru 0.479 0.739 0.219 1
Sm1 Sm 0.752 0.876 0.627 1
Ru2 Ru 0.521 0.261 0.781 1
Pu1 Pu 0.751 0.376 0.127 1
Pu2 Pu 0.249 0.624 0.873 1
Ru3 Ru 0.000 0.000 0.000 1
Sm2 Sm 0.248 0.124 0.373 1
```

=====

Record 11
Sm3PuRu2: relaxed, PBE.

Properties
* E_form: -0.6 eV per formula unit
* magnetic moment: 10.030 μB/cell
* DFT total energy: -95.352 eV per cell

Structure (CIF):
```
data_Sm3PuRu2
_chemical_formula_sum 'Sm6 Pu2 Ru4'
_cell_length_a 4.128
_cell_length_b 8.500
_cell_length_c 10.415
_cell_angle_alpha 70.23
_cell_angle_beta 78.57
_cell_angle_gamma 75.95
_symmetry_space_group_name_H-M 'P 1'
_symmetry_Int_Tables_number 1
loop_
_symmetry_equiv_pos_as_xyz
'x,y,z'
loop_
_atom_site_label
_atom_site_type_symbol
_atom_site_fract_x
_atom_site_fract_y
_atom_site_fract_z
_atom_site_occupancy
Pu1 Pu 0.556 0.542 0.346 1
Ru1 Ru 0.384 0.832 0.401 1
Sm1 Sm 0.947 0.901 0.205 1
Sm2 Sm 0.053 0.099 0.795 1
Pu2 Pu 0.444 0.458 0.654 1
Ru2 Ru 0.135 0.550 0.179 1
Sm3 Sm 0.794 0.815 0.598 1
Sm4 Sm 0.665 0.691 0.979 1
Ru3 Ru 0.865 0.450 0.821 1
Sm5 Sm 0.335 0.309 0.021 1
Sm6 Sm 0.206 0.185 0.402 1
Ru4 Ru 0.616 0.168 0.599 1
```

=====

Record 12
SmPuRu: relaxed, PBE.

Properties
* E_form: 0.0 eV per formula unit
* magnetic moment: 5.173 μB/cell
* DFT total energy: -28.281 eV per cell

Structure (CIF):
```
data_SmPuRu
_chemical_formula_sum 'Sm1 Pu1 Ru1'
_cell_length_a 4.795
_cell_length_b 4.795
_cell_length_c 4.795
_cell_angle_alpha 60.00
_cell_angle_beta 60.00
_cell_angle_gamma 60.00
_symmetry_space_group_name_H-M 'P 1'
_symmetry_Int_Tables_number 1
loop_
_symmetry_equiv_pos_as_xyz
'x,y,z'
loop_
_atom_site_label
_atom_site_type_symbol
_atom_site_fract_x
_atom_site_fract_y
_atom_site_fract_z
_atom_site_occupancy
Pu1 Pu 0.000 0.000 0.000 1
Ru1 Ru 0.250 0.250 0.250 1
Sm1 Sm 0.500 0.500 0.500 1
```